1.
DFT (PBE) results for an optimized crystal structure of HfAlRh.

Calculated values
For the total energy, the calculation gives -23.2 eV/cell. Its crystal system is hexagonal. Its magnetic moment is 0.00 Bohr magnetons per cell.

Cell: 3.045 4.385 4.385 Å, 120.00 90.00 90.00°
Fractional coordinates of all 3 atoms:
Hf: 0.667 0.667 0.333
Al: 0.167 0.000 0.000
Rh: 0.166 0.333 0.667

***

2.
DFT (PBE) results for an optimized crystal structure of Hf2Al4Rh.

Calculated values
For the total energy, the calculation gives -41.3 eV/cell. Its crystal system is tetragonal. Its magnetic moment is 0.00 Bohr magnetons per cell.

Cell: 4.508 4.508 7.733 Å, 73.05 73.05 90.00°
Fractional coordinates of all 7 atoms:
Al: 0.000 0.500 0.000
Al: 0.827 0.827 0.347
Al: 0.173 0.173 0.653
Al: 0.500 0.000 0.000
Hf: 0.635 0.635 0.730
Hf: 0.365 0.365 0.270
Rh: 0.000 0.000 0.000

***

3.
DFT (PBE) results for an optimized crystal structure of Hf3AlRh.

Calculated values
Its excess energy over the best structure of this formula in the dataset is 0.000 eV per atom. Its crystal system is cubic. Its magnetic moment is 0.00 Bohr magnetons per cell.

Cell: 4.946 4.946 4.946 Å, 90.00 90.00 90.00°
Fractional coordinates of all 5 atoms:
Rh: 0.000 0.000 0.000
Hf: 0.000 0.500 0.000
Hf: 0.000 0.000 0.500
Hf: 0.500 0.000 0.000
Al: 0.500 0.500 0.500

***

4.
DFT (PBE) results for an optimized crystal structure of Hf8Al2Rh3.

Calculated values
For the total energy, the calculation gives -112.6 eV/cell. Its crystal system is orthorhombic. Its magnetic moment is 0.00 Bohr magnetons per cell.

Cell: 4.576 9.078 7.915 Å, 124.99 90.01 90.00°
Fractional coordinates of all 13 atoms:
Hf: 0.500 0.383 0.248
Hf: 0.000 0.873 0.745
Hf: 0.500 0.135 0.752
Hf: 0.000 0.127 0.255
Hf: 0.000 0.622 0.244
Hf: 0.500 0.865 0.248
Hf: 0.500 0.617 0.752
Hf: 0.000 0.378 0.756
Al: 0.500 0.248 0.497
Al: 0.500 0.752 0.503
Rh: 0.500 0.000 0.000
Rh: 0.000 0.246 0.000
Rh: 0.000 0.754 0.000

***

5.
DFT (PBE) results for an optimized crystal structure of Hf2Al3Rh.

Calculated values
For the total energy, the calculation gives -42.6 eV/cell. Its crystal system is trigonal. Its magnetic moment is 0.00 Bohr magnetons per cell.

Cell: 5.282 5.282 5.185 Å, 90.01 120.60 120.01°
Fractional coordinates of all 6 atoms:
Al: 0.500 0.500 0.500
Al: 0.000 0.000 0.500
Al: 0.500 0.000 0.500
Hf: 0.744 0.372 0.115
Hf: 0.256 0.628 0.885
Rh: 0.000 0.000 0.000

***

6.
DFT (PBE) results for an optimized crystal structure of HfAlRh.

Calculated values
For the total energy, the calculation gives -93.4 eV/cell. Its crystal system is orthorhombic. Its magnetic moment is 0.00 Bohr magnetons per cell.

Cell: 5.294 5.294 8.208 Å, 90.00 90.00 119.37°
Fractional coordinates of all 12 atoms:
Rh: 0.830 0.170 0.000
Rh: 0.661 0.831 0.500
Rh: 0.169 0.339 0.500
Rh: 0.167 0.833 0.500
Hf: 0.334 0.666 0.790
Hf: 0.334 0.666 0.210
Hf: 0.670 0.330 0.680
Hf: 0.670 0.330 0.320
Al: 0.995 0.005 0.744
Al: 0.995 0.005 0.256
Al: 0.346 0.171 0.000
Al: 0.829 0.654 0.000

***

7.
DFT (PBE) results for an optimized crystal structure of Hf8Al2Rh.

Calculated values
For the total energy, the calculation gives -96.7 eV/cell. Its crystal system is monoclinic. Its magnetic moment is 0.00 Bohr magnetons per cell.

Cell: 4.495 5.985 9.074 Å, 102.80 104.34 90.00°
Fractional coordinates of all 11 atoms:
Hf: 0.021 0.760 0.042
Hf: 0.405 0.501 0.811
Hf: 0.649 0.014 0.298
Hf: 0.777 0.670 0.553
Hf: 0.595 0.499 0.189
Hf: 0.223 0.330 0.447
Hf: 0.351 0.986 0.702
Hf: 0.979 0.240 0.958
Al: 0.817 0.231 0.633
Al: 0.183 0.769 0.367
Rh: 0.500 0.000 0.000

***

8.
DFT (PBE) results for an optimized crystal structure of HfAl5Rh6.

Calculated values
For the total energy, the calculation gives -85.5 eV/cell. Its crystal system is orthorhombic. Its magnetic moment is 0.00 Bohr magnetons per cell.

Cell: 4.267 6.276 6.736 Å, 90.00 71.51 90.00°
Fractional coordinates of all 12 atoms:
Hf: 0.000 0.000 0.000
Rh: 0.831 0.745 0.339
Rh: 0.500 0.740 0.000
Rh: 0.500 0.260 0.000
Rh: 0.169 0.255 0.661
Rh: 0.169 0.745 0.661
Rh: 0.831 0.255 0.339
Al: 0.331 0.000 0.339
Al: 0.335 0.500 0.330
Al: 0.000 0.500 0.000
Al: 0.669 0.000 0.661
Al: 0.665 0.500 0.670

***

Please write out number 1 again, unchanged.
DFT (PBE) results for an optimized crystal structure of HfAlRh.

Calculated values
For the total energy, the calculation gives -23.2 eV/cell. Its crystal system is hexagonal. Its magnetic moment is 0.00 Bohr magnetons per cell.

Cell: 3.045 4.385 4.385 Å, 120.00 90.00 90.00°
Fractional coordinates of all 3 atoms:
Hf: 0.667 0.667 0.333
Al: 0.167 0.000 0.000
Rh: 0.166 0.333 0.667

***

Look up the magnetic moment of the second one. 0.00 Bohr magnetons per cell

***

Repeat the fifth record exactly.
DFT (PBE) results for an optimized crystal structure of Hf2Al3Rh.

Calculated values
For the total energy, the calculation gives -42.6 eV/cell. Its crystal system is trigonal. Its magnetic moment is 0.00 Bohr magnetons per cell.

Cell: 5.282 5.282 5.185 Å, 90.01 120.60 120.01°
Fractional coordinates of all 6 atoms:
Al: 0.500 0.500 0.500
Al: 0.000 0.000 0.500
Al: 0.500 0.000 0.500
Hf: 0.744 0.372 0.115
Hf: 0.256 0.628 0.885
Rh: 0.000 0.000 0.000